No. 1
LaSnTe2Br: optimized geometry, GGA-PBE.

Geometry as POSCAR:
```
LaSnTe2Br
1.0
6.217 0.000 0.000
0.000 5.596 0.000
0.000 0.000 6.217
Br Te La Sn
1 2 1 1
Direct
0.000 0.500 0.000
0.500 0.000 0.000
0.000 0.000 0.500
0.000 0.000 0.000
0.500 0.500 0.500
```

Summary:
Uncorrected formation energy = -2.9 eV per formula unit


No. 2
La2TiSnBr: optimized geometry, GGA-PBE.

Geometry as POSCAR:
```
La2TiSnBr
1.0
-4.236 -1.261 -3.723
1.218 -4.613 0.177
-3.644 -0.793 4.414
Br Ti La Sn
1 1 2 1
Direct
0.000 0.500 0.000
0.000 0.000 0.000
0.000 0.000 0.500
0.500 0.000 0.000
0.500 0.500 0.500
```

Summary:
Uncorrected formation energy = -0.2 eV per formula unit


Total magnetic moment for every record listed, in sequence, given in μB per formula unit: 0.0; 0.0.